# PuNpN4 (PBE, relaxed)
data_PuNpN4
_cell_length_a 3.694
_cell_length_b 3.694
_cell_length_c 5.227
_cell_angle_alpha 90.00
_cell_angle_beta 90.00
_cell_angle_gamma 90.00
_symmetry_space_group_name_H-M 'P 1'
_symmetry_Int_Tables_number 1
loop_
_symmetry_equiv_pos_as_xyz
'x,y,z'
loop_
_atom_site_label
_atom_site_type_symbol
_atom_site_fract_x
_atom_site_fract_y
_atom_site_fract_z
Pu1 Pu 0.000 0.000 0.000
Np1 Np 0.500 0.500 0.500
N1 N 0.000 0.500 0.255
N2 N 0.000 0.500 0.745
N3 N 0.500 0.000 0.255
N4 N 0.500 0.000 0.745
# M_tot (Bohr magnetons per cell): 3.00
# Formation energy (no corrections) (eV/atom): -0.85
# Raw total energy (eV per atom): -10.95